This record from Alexandria via LeMat-Bulk describes a relaxed Dy2Ge3Ir2 crystal. The functional is PBE-GGA.

Geometry as extended XYZ:
```
14
Lattice="2.066 -8.984 0.000 2.066 8.984 0.000 0.000 0.000 7.155" Properties=species:S:1:pos:R:3 pbc="T T T"
Dy 2.066 7.911 5.366
Dy 2.066 6.164 1.789
Dy 2.066 -6.164 5.366
Dy 2.066 -7.911 1.789
Ge 2.066 4.933 5.366
Ge 2.066 1.137 4.060
Ge 2.066 1.137 6.672
Ge 2.066 -1.137 0.482
Ge 2.066 -1.137 3.095
Ge 2.066 -4.933 1.789
Ir 2.066 3.466 0.358
Ir 2.066 3.466 3.219
Ir 2.066 -3.466 3.935
Ir 2.066 -3.466 6.797
```

Properties
Total energy ... -92.11 eV/cell

---

This record from Alexandria via LeMat-Bulk describes a relaxed HoCoRu2C crystal. The functional is PBE-GGA.

Geometry as extended XYZ:
```
5
Lattice="4.163 0.000 0.000 0.000 4.163 0.000 0.000 0.000 3.909" Properties=species:S:1:pos:R:3 pbc="T T T"
Ho 0.000 0.000 0.000
Co 2.081 2.081 0.000
Ru 0.000 2.081 1.954
Ru 2.081 0.000 1.954
C 2.081 2.081 1.954
```

Properties
Total energy ... -40.52 eV/cell

---

This record from Alexandria via LeMat-Bulk describes a relaxed GaBTe2N crystal. The functional is PBE-GGA.

Geometry as extended XYZ:
```
5
Lattice="5.789 0.000 0.000 0.000 5.789 0.000 0.000 0.000 3.451" Properties=species:S:1:pos:R:3 pbc="T T T"
Ga 0.000 0.000 0.000
B 2.894 2.894 1.725
Te 0.000 2.894 0.000
Te 2.894 0.000 0.000
N 0.000 0.000 1.725
```

Properties
Distance to the lowest polymorph of the same formula ... 1.306 eV per atom